The following is a GGA-PBE calculation of a relaxed Tm2CdMo crystal, from Alexandria.

```
data_Tm2CdMo
_cell_length_a 3.497
_cell_length_b 3.497
_cell_length_c 7.592
_cell_angle_alpha 90.00
_cell_angle_beta 90.00
_cell_angle_gamma 90.00
_symmetry_space_group_name_H-M 'P 4/m m m'
_symmetry_Int_Tables_number 123
_symmetry_space_group_name_Hall '-P 4 2'
loop_
_atom_site_label
_atom_site_type_symbol
_atom_site_fract_x
_atom_site_fract_y
_atom_site_fract_z
Tm1 Tm 0.000 0.000 0.220
Cd1 Cd 0.500 0.500 0.500
Mo1 Mo 0.500 0.500 0.000
```

Formation enthalpy at 0 K ... 0.019 eV/atom
Total energy ... -5.15 eV/atom
Total magnetic moment ... 0.00 Bohr magnetons per cell